First-principles (PBE-GGA) data for a geometry-optimized AuCl5 structure, as listed in Alexandria via LeMat-Bulk.

Cell lengths 6.9999, 6.9999, 3.5213 Å; angles 90.00, 90.00, 120.00 degrees
Last column: nearest neighbours and their distance in Å.
Fractional coordinates of all 6 atoms:
Cl (0.0000, 0.7354, 0.0000)  2 Au 2.56
Cl (0.7354, 0.0000, 0.0000)  2 Au 2.56
Cl (0.2646, 0.2646, 0.0000)  2 Au 2.56
Cl (0.3333, 0.6667, 0.5000)  8 Cl 3.15-3.52
Cl (0.6667, 0.3333, 0.5000)  8 Cl 3.15-3.52
Au (0.0000, 0.0000, 0.5000)  6 Cl 2.56

Size of the total moment   0.0 μB/f.u.
Space group   P-62m (189)
Fermi-level density of states   8.2 states/eV/f.u.
Crystal system   hexagonal
Energy relative to the elements, uncorrected   0.433 eV/atom

---

First-principles (PBE-GGA) data for a geometry-optimized Ni2Te6Pd structure, as listed in Alexandria via LeMat-Bulk.

Cell lengths 6.1040, 6.1040, 12.1747 Å; angles 90.00, 90.00, 90.00 degrees
Last column: nearest neighbours and their distance in Å.
Fractional coordinates of all 18 atoms:
Te (0.3152, 0.3152, 0.5000)  2 Ni 2.57, 1 Pd 2.72
Te (0.3016, 0.3016, 0.1759)  2 Ni 2.58-2.61, 1 Pd 2.74
Te (0.6848, 0.6848, 0.5000)  2 Ni 2.57, 1 Pd 2.72
Te (0.3016, 0.3016, 0.8241)  2 Ni 2.58-2.61, 1 Pd 2.74
Te (0.6984, 0.6984, 0.8241)  2 Ni 2.58-2.61, 1 Pd 2.74
Te (0.8152, 0.1848, 0.0000)  2 Ni 2.57, 1 Pd 2.72
Te (0.8016, 0.1984, 0.6759)  2 Ni 2.58-2.61, 1 Pd 2.74
Te (0.8016, 0.1984, 0.3241)  2 Ni 2.58-2.61, 1 Pd 2.74
Te (0.1984, 0.8016, 0.6759)  2 Ni 2.58-2.61, 1 Pd 2.74
Te (0.1848, 0.8152, 0.0000)  2 Ni 2.57, 1 Pd 2.72
Te (0.6984, 0.6984, 0.1759)  2 Ni 2.58-2.61, 1 Pd 2.74
Te (0.1984, 0.8016, 0.3241)  2 Ni 2.58-2.61, 1 Pd 2.74
Pd (0.5000, 0.5000, 0.0000)  6 Te 2.72-2.74
Pd (0.0000, 0.0000, 0.5000)  6 Te 2.72-2.74
Ni (0.5000, 0.5000, 0.6654)  6 Te 2.57-2.61
Ni (0.5000, 0.5000, 0.3346)  6 Te 2.57-2.61
Ni (0.0000, 0.0000, 0.8346)  6 Te 2.57-2.61
Ni (0.0000, 0.0000, 0.1654)  6 Te 2.57-2.61

Size of the total moment   0.0 μB/f.u.
Space group   P4_2/mnm (136)
Fermi-level density of states   10.1 states/eV/f.u.
Crystal system   tetragonal
Energy relative to the elements, uncorrected   -0.059 eV/atom

---

First-principles (PBE-GGA) data for a geometry-optimized CaTeSeF structure, as listed in Alexandria via LeMat-Bulk.

Cell lengths 5.0011, 3.5888, 6.4254 Å; angles 90.00, 94.62, 90.00 degrees
Last column: nearest neighbours and their distance in Å.
Fractional coordinates of all 4 atoms:
Ca (0.2613, 0.5000, 0.5984)  2 F 2.19
Te (0.0150, 0.0000, 0.1721)  1 Se 2.51
Se (0.7536, 0.0000, 0.4886)  1 Te 2.51
F (0.3238, 0.0000, 0.7911)  2 Ca 2.19

Size of the total moment   0.0 μB/f.u.
Space group   Pm (6)
Fermi-level density of states   1.6 states/eV/f.u.
Crystal system   monoclinic
Energy relative to the elements, uncorrected   -1.706 eV/atom